This record from Alexandria via LeMat-Bulk describes an optimized crystal structure of RbCN2. The functional is PBE-GGA.

Results
total magnetization = 0.250 μB per atom
crystal system = trigonal
raw formation energy = 0.06 eV/atom
space-group type = R-3m

Lattice parameters (Å, degrees): 6.293 6.293 6.293 41.21 41.21 41.21
Positions (direct):
Rb 0.000 0.000 0.000
C 0.500 0.500 0.500
N 0.428 0.428 0.428
N 0.572 0.572 0.572